The following is a DFT calculation (PBE) of an optimized crystal structure of La2TlZn2Pd5.

Lattice parameters (Å, degrees): 10.0285 10.0285 3.9013 90.00 90.00 90.00
Element x y z (fractional)
La 0.1800 0.3200 0.0000
La 0.3200 0.8200 0.0000
La 0.6800 0.1800 0.0000
La 0.8200 0.6800 0.0000
Tl 0.0000 0.0000 0.0000
Tl 0.5000 0.5000 0.0000
Zn 0.1156 0.6156 0.0000
Zn 0.3844 0.1156 0.0000
Zn 0.6156 0.8844 0.0000
Zn 0.8844 0.3844 0.0000
Pd 0.0000 0.5000 0.5000
Pd 0.0669 0.7851 0.5000
Pd 0.2149 0.0669 0.5000
Pd 0.2851 0.5669 0.5000
Pd 0.4331 0.2851 0.5000
Pd 0.5000 0.0000 0.5000
Pd 0.5669 0.7149 0.5000
Pd 0.7149 0.4331 0.5000
Pd 0.7851 0.9331 0.5000
Pd 0.9331 0.2149 0.5000

ΔE_f = -0.61 eV/atom
Crystal system = tetragonal
Space-group type = P4/mbm

***

The following is a DFT calculation (PBE) of an optimized crystal structure of La3TlZn2Pd9.

Lattice parameters (Å, degrees): 5.7124 5.7124 12.2127 90.00 90.00 120.00
Element x y z (fractional)
La 0.0000 0.0000 0.0000
La 0.3333 0.6667 0.7544
La 0.6667 0.3333 0.2456
Tl 0.0000 0.0000 0.5000
Zn 0.3333 0.6667 0.1594
Zn 0.6667 0.3333 0.8406
Pd 0.0000 0.5000 0.0000
Pd 0.1649 0.3297 0.3141
Pd 0.1649 0.8351 0.3141
Pd 0.3297 0.1649 0.6859
Pd 0.5000 0.0000 0.0000
Pd 0.5000 0.5000 0.0000
Pd 0.6703 0.8351 0.3141
Pd 0.8351 0.1649 0.6859
Pd 0.8351 0.6703 0.6859

ΔE_f = -0.54 eV/atom
Crystal system = trigonal
Space-group type = P-3m1

***

The following is a DFT calculation (PBE) of an optimized crystal structure of La2ZrTlPd.

Lattice parameters (Å, degrees): 5.6328 5.6328 5.1908 90.00 90.00 90.00
Element x y z (fractional)
La 0.0000 0.5000 0.0000
La 0.5000 0.0000 0.0000
Zr 0.0000 0.0000 0.5000
Tl 0.5000 0.5000 0.5000
Pd 0.0000 0.0000 0.0000

ΔE_f = -0.01 eV/atom
Crystal system = tetragonal
Space-group type = P4/mmm

***

The following is a DFT calculation (PBE) of an optimized crystal structure of LaTm4Pd4.

Lattice parameters (Å, degrees): 9.0900 9.0900 5.6832 90.00 90.00 90.00
Element x y z (fractional)
La 0.2500 0.2500 0.2500
La 0.7500 0.7500 0.7500
Tm 0.0833 0.6516 0.1649
Tm 0.1516 0.9167 0.6649
Tm 0.3484 0.5833 0.6649
Tm 0.4167 0.8484 0.1649
Tm 0.5833 0.1516 0.8351
Tm 0.6516 0.4167 0.3351
Tm 0.8484 0.0833 0.3351
Tm 0.9167 0.3484 0.8351
Pd 0.0416 0.6182 0.6646
Pd 0.1182 0.9584 0.1646
Pd 0.3818 0.5416 0.1646
Pd 0.4584 0.8818 0.6646
Pd 0.5416 0.1182 0.3354
Pd 0.6182 0.4584 0.8354
Pd 0.8818 0.0416 0.8354
Pd 0.9584 0.3818 0.3354

ΔE_f = -0.71 eV/atom
Crystal system = tetragonal
Space-group type = P4_2/n

***

The following is a DFT calculation (PBE) of an optimized crystal structure of LaTm2Pd.

Lattice parameters (Å, degrees): 7.1298 9.7149 6.5314 90.00 90.00 90.00
Element x y z (fractional)
La 0.0156 0.2500 0.1360
La 0.4844 0.7500 0.6360
La 0.5156 0.2500 0.3640
La 0.9844 0.7500 0.8640
Tm 0.1766 0.0617 0.6708
Tm 0.1766 0.4383 0.6708
Tm 0.3234 0.5617 0.1708
Tm 0.3234 0.9383 0.1708
Tm 0.6766 0.0617 0.8292
Tm 0.6766 0.4383 0.8292
Tm 0.8234 0.5617 0.3292
Tm 0.8234 0.9383 0.3292
Pd 0.1152 0.7500 0.4193
Pd 0.3848 0.2500 0.9193
Pd 0.6152 0.7500 0.0807
Pd 0.8848 0.2500 0.5807

ΔE_f = -0.47 eV/atom
Crystal system = orthorhombic
Space-group type = Pnma

***

The following is a DFT calculation (PBE) of an optimized crystal structure of La2TmPd.

Lattice parameters (Å, degrees): 3.8008 3.8008 8.1345 90.00 90.00 90.00
Element x y z (fractional)
La 0.0000 0.0000 0.2095
La 0.0000 0.0000 0.7905
Tm 0.5000 0.5000 0.5000
Pd 0.5000 0.5000 0.0000

ΔE_f = -0.32 eV/atom
Crystal system = tetragonal
Space-group type = P4/mmm

***

The following is a DFT calculation (PBE) of an optimized crystal structure of LaTmPd4.

Lattice parameters (Å, degrees): 10.1841 10.1841 5.7649 90.00 90.00 156.01
Element x y z (fractional)
La 0.2193 0.7807 0.7500
La 0.7807 0.2193 0.2500
Tm 0.0735 0.9265 0.2500
Tm 0.9265 0.0735 0.7500
Pd 0.0703 0.9297 0.7500
Pd 0.3567 0.6433 0.0033
Pd 0.3567 0.6433 0.4967
Pd 0.5000 0.5000 0.0000
Pd 0.5000 0.5000 0.5000
Pd 0.6433 0.3567 0.5033
Pd 0.6433 0.3567 0.9967
Pd 0.9297 0.0703 0.2500

ΔE_f = -0.88 eV/atom
Crystal system = orthorhombic
Space-group type = Cmcm

***

The following is a DFT calculation (PBE) of an optimized crystal structure of LaTm2Pd.

Lattice parameters (Å, degrees): 3.5395 3.5395 8.6862 90.00 90.00 90.00
Element x y z (fractional)
La 0.0000 0.0000 0.0000
Tm 0.5000 0.5000 0.3113
Tm 0.5000 0.5000 0.6887
Pd 0.0000 0.0000 0.5000

ΔE_f = -0.45 eV/atom
Crystal system = tetragonal
Space-group type = P4/mmm

***

The following is a DFT calculation (PBE) of an optimized crystal structure of LaTmPd4.

Lattice parameters (Å, degrees): 5.4941 5.4941 5.4941 60.00 60.00 60.00
Element x y z (fractional)
La 0.0000 0.0000 0.0000
Tm 0.2500 0.2500 0.2500
Pd 0.1268 0.6244 0.6244
Pd 0.6244 0.1268 0.6244
Pd 0.6244 0.6244 0.1268
Pd 0.6244 0.6244 0.6244

ΔE_f = -0.81 eV/atom
Crystal system = cubic
Space-group type = F-43m

***

The following is a DFT calculation (PBE) of an optimized crystal structure of La2TmPd.

Lattice parameters (Å, degrees): 9.9069 9.9069 9.9069 22.55 22.55 22.55
Element x y z (fractional)
La 0.0000 0.0000 0.0000
La 0.1978 0.1978 0.1978
Tm 0.4315 0.4315 0.4315
Pd 0.5994 0.5994 0.5994

ΔE_f = -0.25 eV/atom
Crystal system = trigonal
Space-group type = R3m

***

The following is a DFT calculation (PBE) of an optimized crystal structure of LaTmPd.

Lattice parameters (Å, degrees): 4.9881 4.9881 4.9881 60.00 60.00 60.00
Element x y z (fractional)
La 0.0000 0.0000 0.0000
Tm 0.5000 0.5000 0.5000
Pd 0.2500 0.2500 0.2500

ΔE_f = -0.44 eV/atom
Crystal system = cubic
Space-group type = F-43m

***

The following is a DFT calculation (PBE) of an optimized crystal structure of LaTm2Pd.

Lattice parameters (Å, degrees): 9.9338 9.9338 9.9338 21.68 21.68 21.68
Element x y z (fractional)
La 0.0000 0.0000 0.0000
Tm 0.2286 0.2286 0.2286
Tm 0.7714 0.7714 0.7714
Pd 0.5000 0.5000 0.5000

ΔE_f = -0.31 eV/atom
Crystal system = trigonal
Space-group type = R-3m

***

no.,magnetic moment (μB per formula unit)
1,0.00
2,0.00
3,0.00
4,0.00
5,0.00
6,0.00
7,0.00
8,0.01
9,0.00
10,0.00
11,0.00
12,0.00